A plane-wave DFT calculation with GGA-PBE was carried out for a geometry-optimized KC2N3 structure.

Properties
energy relative to the lowest polymorph listed for this composition = 0.000 eV per atom

```
data_KC2N3
_chemical_formula_sum 'K12 C24 N36'
_symmetry_space_group_name_H-M 'P 1 21/c 1'
_symmetry_Int_Tables_number 14
_cell_length_a 3.876
_cell_length_b 12.139
_cell_length_c 24.915
_cell_angle_alpha 90.00
_cell_angle_beta 97.11
_cell_angle_gamma 90.00
loop_
_symmetry_equiv_pos_as_xyz
'x,y,z'
'-x,-y,-z'
'-x,y+1/2,-z+1/2'
'x,-y+1/2,z+1/2'
loop_
_atom_site_label
_atom_site_type_symbol
_atom_site_fract_x
_atom_site_fract_y
_atom_site_fract_z
K1 K 0.102 0.152 0.013
K2 K 0.133 0.585 0.098
K3 K 0.387 0.508 0.743
C1 C 0.035 0.727 0.792
C2 C 0.212 0.235 0.294
C3 C 0.237 0.636 0.351
C4 C 0.253 0.683 0.879
C5 C 0.442 0.013 0.904
C6 C 0.445 0.632 0.967
N1 N 0.094 0.664 0.301
N2 N 0.116 0.191 0.757
N3 N 0.119 0.647 0.829
N4 N 0.304 0.527 0.358
N5 N 0.312 0.709 0.392
N6 N 0.314 0.173 0.329
N7 N 0.329 0.603 0.917
N8 N 0.430 0.558 0.556
N9 N 0.448 0.148 0.487
```

=====

A plane-wave DFT calculation with GGA-PBE was carried out for a geometry-optimized LiTePd4 structure.

Properties
energy relative to the lowest polymorph listed for this composition = 0.000 eV per atom

```
data_LiTePd4
_chemical_formula_sum 'Li2 Te2 Pd8'
_symmetry_space_group_name_H-M 'C m m m'
_symmetry_Int_Tables_number 65
_symmetry_space_group_name_Hall '-C 2 2'
_cell_length_a 4.205
_cell_length_b 10.716
_cell_length_c 4.234
_cell_angle_alpha 90.00
_cell_angle_beta 90.00
_cell_angle_gamma 90.00
loop_
_atom_site_label
_atom_site_type_symbol
_atom_site_fract_x
_atom_site_fract_y
_atom_site_fract_z
Li1 Li 0.000 0.000 0.000
Te1 Te 0.000 0.500 0.500
Pd1 Pd 0.000 0.162 0.500
Pd2 Pd 0.000 0.343 0.000
```

=====

A plane-wave DFT calculation with GGA-PBE was carried out for a geometry-optimized MgP2AuN structure.

Properties
DFT total energy = -22.32 eV/cell

```
data_MgP2AuN
_chemical_formula_sum 'Mg1 P2 Au1 N1'
_symmetry_space_group_name_H-M 'P 4/m m m'
_symmetry_Int_Tables_number 123
_symmetry_space_group_name_Hall '-P 4 2'
_cell_length_a 4.249
_cell_length_b 4.249
_cell_length_c 3.986
_cell_angle_alpha 90.00
_cell_angle_beta 90.00
_cell_angle_gamma 90.00
loop_
_atom_site_label
_atom_site_type_symbol
_atom_site_fract_x
_atom_site_fract_y
_atom_site_fract_z
Mg1 Mg 0.000 0.000 0.000
P1 P 0.000 0.500 0.500
Au1 Au 0.500 0.500 0.000
N1 N 0.000 0.000 0.500
```